A plane-wave DFT calculation with PBE was carried out for crystalline Li7CaBi4 at its relaxed geometry. Values from VASP.

## Properties
crystal system = monoclinic
ΔE_f = -0.351 eV per atom
space group = No. 12

Geometry as Quantum ESPRESSO input:
```
&SYSTEM
  ibrav = 0, nat = 12, ntyp = 3
/
ATOMIC_SPECIES
Li 6.94 Li.upf
Ca 40.08 Ca.upf
Bi 208.98 Bi.upf
CELL_PARAMETERS angstrom
5.193 0.000 0.000
2.596 8.557 -0.324
2.596 -0.009 6.443
ATOMIC_POSITIONS angstrom
Li 7.789 7.707 3.185
Li 2.596 0.841 2.934
Li 2.596 5.429 1.233
Li 7.789 3.119 4.886
Li 5.193 4.783 4.607
Li 2.596 0.000 0.000
Li 5.193 3.765 1.512
Ca 0.000 0.000 0.000
Bi 5.193 1.905 3.914
Bi 5.193 6.643 2.205
Bi 7.789 5.978 5.449
Bi 2.596 2.570 0.670
```